The following is a DFT calculation (PBE-GGA) of crystalline BaPr2NbN4 at its relaxed geometry.

The structure in POSCAR format:
```
BaPr2NbN4
1.0
1.810 -6.501 0.000
1.810 6.501 0.000
0.000 0.000 12.625
Ba Pr Nb N
2 4 2 8
direct
0.089 0.911 0.750
0.911 0.089 0.250
0.371 0.629 0.535
0.371 0.629 0.965
0.629 0.371 0.035
0.629 0.371 0.465
0.175 0.825 0.250
0.825 0.175 0.750
0.000 0.000 0.000
0.000 0.000 0.500
0.259 0.741 0.124
0.259 0.741 0.376
0.406 0.594 0.750
0.594 0.406 0.250
0.741 0.259 0.624
0.741 0.259 0.876
```

ΔE_f (raw)   -1.071 eV per atom
Electronic total energy   -7.93 eV per atom